(1)
# NbCo2Sb

An optimized crystal structure of NbCo2Sb (GGA-PBE, OQMD).

a = 4.3753 Å, b = 4.3753 Å, c = 4.3753 Å
α = 60.00°, β = 60.00°, γ = 60.00°
With the nearest neighbours (Å) after each atom.
Sites, in units of the cell vectors:
1 Co 0.0000 0.0000 0.0000  4 Nb 2.68, 4 Co 2.68
2 Co 0.7500 0.7500 0.7500  4 Sb 2.68, 4 Co 2.68
3 Nb 0.2500 0.2500 0.2500  4 Co 2.68, 4 Sb 2.68
4 Sb 0.5000 0.5000 0.5000  4 Nb 2.68, 4 Co 2.68

Calculated values
Raw total energy   -6.917 eV/atom
M_tot   0.092 μB/atom

---

(2)
# ScNbCo2Sb2

An optimized crystal structure of ScNbCo2Sb2 (GGA-PBE, OQMD).

a = 5.9944 Å, b = 4.2341 Å, c = 8.4759 Å
α = 90.00°, β = 90.00°, γ = 90.00°
With the nearest neighbours (Å) after each atom.
Sites, in units of the cell vectors:
1 Co 0.7366 0.5000 0.1154  4 Sb 2.53-2.61, 3 Nb 2.55-2.58, 1 Sc 2.74
2 Co 0.2639 0.0000 0.3615  1 Nb 2.43, 4 Sb 2.57-2.69, 3 Sc 2.62-2.66
3 Co 0.7639 0.5000 0.6385  1 Nb 2.43, 4 Sb 2.57-2.69, 3 Sc 2.62-2.66
4 Co 0.2366 0.0000 0.8846  4 Sb 2.53-2.61, 3 Nb 2.55-2.58, 1 Sc 2.74
5 Nb 0.4925 0.0000 0.1253  4 Co 2.43-2.58
6 Nb 0.9925 0.5000 0.8747  4 Co 2.43-2.58
7 Sb 0.9905 0.0000 0.1275  4 Co 2.53-2.61
8 Sb 0.5089 0.5000 0.3775  4 Co 2.58-2.69
9 Sb 0.0089 0.0000 0.6225  4 Co 2.58-2.69
10 Sb 0.4905 0.5000 0.8725  4 Co 2.53-2.61
11 Sc 0.0076 0.5000 0.3756  4 Co 2.62-2.74
12 Sc 0.5077 0.0000 0.6244  4 Co 2.62-2.74

Calculated values
Raw total energy   -7.100 eV/atom
M_tot   0.000 μB/atom

---

(3)
# TaNbCoSb

An optimized crystal structure of TaNbCoSb (GGA-PBE, OQMD).

a = 4.5652 Å, b = 4.5652 Å, c = 4.5652 Å
α = 60.00°, β = 60.00°, γ = 60.00°
With the nearest neighbours (Å) after each atom.
Sites, in units of the cell vectors:
1 Co 0.7500 0.7500 0.7500  4 Ta 2.80, 4 Sb 2.80
2 Nb 0.2500 0.2500 0.2500  4 Ta 2.80, 4 Sb 2.80
3 Sb 0.0000 0.0000 0.0000  4 Nb 2.80, 4 Co 2.80
4 Ta 0.5000 0.5000 0.5000  4 Nb 2.80, 4 Co 2.80

Calculated values
Raw total energy   -8.104 eV/atom
M_tot   0.003 μB/atom

---

(4)
# NbCoTcSb

An optimized crystal structure of NbCoTcSb (GGA-PBE, OQMD).

a = 4.4809 Å, b = 4.4809 Å, c = 4.4809 Å
α = 60.00°, β = 60.00°, γ = 60.00°
With the nearest neighbours (Å) after each atom.
Sites, in units of the cell vectors:
1 Co 0.7500 0.7500 0.7500  4 Nb 2.74, 4 Sb 2.74
2 Nb 0.5000 0.5000 0.5000  4 Co 2.74, 4 Tc 2.74
3 Sb 0.0000 0.0000 0.0000  4 Tc 2.74, 4 Co 2.74
4 Tc 0.2500 0.2500 0.2500  4 Nb 2.74, 4 Sb 2.74

Calculated values
Raw total energy   -7.967 eV/atom
M_tot   0.495 μB/atom

---

(5)
# NbCoSbW

An optimized crystal structure of NbCoSbW (GGA-PBE, OQMD).

a = 4.5249 Å, b = 4.5249 Å, c = 4.5249 Å
α = 60.00°, β = 60.00°, γ = 60.00°
With the nearest neighbours (Å) after each atom.
Sites, in units of the cell vectors:
1 Co 0.7500 0.7500 0.7500  4 Nb 2.77, 4 Sb 2.77
2 Nb 0.5000 0.5000 0.5000  4 W 2.77, 4 Co 2.77
3 Sb 0.0000 0.0000 0.0000  4 W 2.77, 4 Co 2.77
4 W 0.2500 0.2500 0.2500  4 Nb 2.77, 4 Sb 2.77

Calculated values
Raw total energy   -8.284 eV/atom
M_tot   0.249 μB/atom

---

(6)
# YNbCo2Sb2

An optimized crystal structure of YNbCo2Sb2 (GGA-PBE, OQMD).

a = 6.1396 Å, b = 4.3183 Å, c = 8.7043 Å
α = 90.00°, β = 90.00°, γ = 90.00°
With the nearest neighbours (Å) after each atom.
Sites, in units of the cell vectors:
1 Co 0.7347 0.0000 0.1108  4 Sb 2.53-2.66, 3 Nb 2.56-2.62
2 Co 0.2727 0.5000 0.3465  1 Nb 2.38, 3 Sb 2.60-2.63
3 Co 0.7728 0.0000 0.6535  1 Nb 2.38, 3 Sb 2.60-2.63
4 Co 0.2347 0.5000 0.8892  4 Sb 2.53-2.66, 3 Nb 2.56-2.62
5 Nb 0.4926 0.5000 0.1210  4 Co 2.38-2.62
6 Nb 0.9926 0.0000 0.8790  4 Co 2.38-2.62
7 Sb 0.9879 0.5000 0.1212  4 Co 2.53-2.66
8 Sb 0.5068 0.0000 0.3647  3 Co 2.60-2.62
9 Sb 0.0068 0.5000 0.6353  3 Co 2.60-2.62
10 Sb 0.4879 0.0000 0.8788  4 Co 2.53-2.66
11 Y 0.0053 0.0000 0.3780  4 Co 2.73-2.86
12 Y 0.5053 0.5000 0.6220  4 Co 2.73-2.86

Calculated values
Raw total energy   -7.081 eV/atom
M_tot   0.001 μB/atom